A plane-wave DFT calculation with PBE was carried out for a relaxed ScNbH4 crystal.

CIF file:
```
data_ScNbH4
_chemical_formula_sum 'Sc1 Nb1 H4'
_space_group_name_H-M_alt 'P 1'
_space_group_IT_number 1
_space_group_name_Hall 'P 1'
_cell_length_a 3.354
_cell_length_b 3.354
_cell_length_c 4.422
_cell_angle_alpha 90.03
_cell_angle_beta 90.03
_cell_angle_gamma 90.00
loop_
_atom_site_label
_atom_site_type_symbol
_atom_site_fract_x
_atom_site_fract_y
_atom_site_fract_z
_atom_site_occupancy
H1 H 0.500 0.500 0.265 1
Sc1 Sc 0.500 0.000 0.000 1
H2 H 0.000 0.000 0.735 1
H3 H 0.500 0.500 0.735 1
H4 H 0.000 0.000 0.265 1
Nb1 Nb 0.000 0.500 0.500 1
```

Properties
Its mass density is 4.74 Mg/m³. The value obtained for the electronic total energy is -32.6 eV per cell.



A plane-wave DFT calculation with PBE was carried out for a relaxed ScNb2H crystal.

CIF file:
```
data_ScNb2H
_chemical_formula_sum 'Sc2 Nb4 H2'
_space_group_name_H-M_alt 'P 1'
_space_group_IT_number 1
_space_group_name_Hall 'P 1'
_cell_length_a 5.843
_cell_length_b 5.843
_cell_length_c 5.830
_cell_angle_alpha 59.93
_cell_angle_beta 59.93
_cell_angle_gamma 90.00
loop_
_atom_site_label
_atom_site_type_symbol
_atom_site_fract_x
_atom_site_fract_y
_atom_site_fract_z
_atom_site_occupancy
Nb1 Nb 0.375 0.626 0.750 1
Nb2 Nb 0.376 0.625 0.250 1
Sc1 Sc 0.000 0.000 0.000 1
H1 H 0.500 0.500 0.000 1
Nb3 Nb 0.875 0.624 0.750 1
H2 H 0.250 0.750 0.500 1
Sc2 Sc 0.750 0.250 0.500 1
Nb4 Nb 0.374 0.125 0.250 1
```

Properties
Its mass density is 5.48 Mg/m³. The value obtained for the electronic total energy is -58.5 eV per cell.



A plane-wave DFT calculation with PBE was carried out for a relaxed ScNbH2 crystal.

CIF file:
```
data_ScNbH2
_chemical_formula_sum 'Sc1 Nb1 H2'
_space_group_name_H-M_alt 'P 1'
_space_group_IT_number 1
_space_group_name_Hall 'P 1'
_cell_length_a 3.964
_cell_length_b 3.964
_cell_length_c 3.964
_cell_angle_alpha 60.00
_cell_angle_beta 60.00
_cell_angle_gamma 60.00
loop_
_atom_site_label
_atom_site_type_symbol
_atom_site_fract_x
_atom_site_fract_y
_atom_site_fract_z
_atom_site_occupancy
H1 H 0.250 0.250 0.250 1
Nb1 Nb 0.500 0.500 0.500 1
H2 H 0.750 0.750 0.750 1
Sc1 Sc 0.000 0.000 0.000 1
```

Properties
Its mass density is 5.27 Mg/m³. The value obtained for the electronic total energy is -21.7 eV per cell.